Record 1
Below is a relaxed Ga2BiPb crystal, with properties calculated at the PBE-GGA level.

Cell: 4.3545 4.3589 11.2046 Å, 90.00 90.12 90.00°
Sites, in units of the cell vectors:
Ga (0.2482, 0.2500, 0.3588)
Ga (0.2507, 0.7500, 0.4999)
Ga (0.7493, 0.2500, 0.5001)
Ga (0.7518, 0.7500, 0.6412)
Bi (0.2465, 0.2500, 0.1088)
Bi (0.7535, 0.7500, 0.8912)
Pb (0.2532, 0.2500, 0.7651)
Pb (0.7468, 0.7500, 0.2349)

Values from the calculation:
Calculated formation energy (meV/atom): 51
Symmetry: No. 11
V (Å³/atom): 26.6
ΔE to the lowest computed polymorph (meV per atom): 0.0

Record 2
Below is a relaxed Ga2BiPb crystal, with properties calculated at the PBE-GGA level.

Cell: 4.9587 4.9587 4.2570 Å, 90.00 90.00 90.00°
Sites, in units of the cell vectors:
Ga (0.0000, 0.5000, 0.0000)
Ga (0.5000, 0.0000, 0.0000)
Bi (0.0000, 0.0000, 0.5000)
Pb (0.5000, 0.5000, 0.5000)

Values from the calculation:
Calculated formation energy (meV/atom): 84
Symmetry: No. 123
V (Å³/atom): 26.2
ΔE to the lowest computed polymorph (meV per atom): 33.2

Record 3
Below is a relaxed Ga2BiPb crystal, with properties calculated at the PBE-GGA level.

Cell: 5.2816 5.2816 5.2816 Å, 60.00 60.00 60.00°
Sites, in units of the cell vectors:
Ga (0.2500, 0.2500, 0.2500)
Ga (0.7500, 0.7500, 0.7500)
Bi (0.0000, 0.0000, 0.0000)
Pb (0.5000, 0.5000, 0.5000)

Values from the calculation:
Calculated formation energy (meV/atom): 100
Symmetry: No. 225
V (Å³/atom): 26.0
ΔE to the lowest computed polymorph (meV per atom): 49.0

Record 4
Below is a relaxed Ga2BiPb crystal, with properties calculated at the PBE-GGA level.

Cell: 3.9250 3.9250 6.7783 Å, 90.00 90.00 90.00°
Sites, in units of the cell vectors:
Ga (0.0000, 0.0000, 0.2336)
Ga (0.0000, 0.0000, 0.7664)
Bi (0.5000, 0.5000, 0.0000)
Pb (0.5000, 0.5000, 0.5000)

Values from the calculation:
Calculated formation energy (meV/atom): 83
Symmetry: No. 123
V (Å³/atom): 26.1
ΔE to the lowest computed polymorph (meV per atom): 32.0

Record 5
Below is a relaxed Ga3BiPb crystal, with properties calculated at the PBE-GGA level.

Cell: 5.4240 5.4240 5.4240 Å, 90.00 90.00 90.00°
Sites, in units of the cell vectors:
Ga (0.0000, 0.0000, 0.5000)
Ga (0.0000, 0.5000, 0.0000)
Ga (0.5000, 0.0000, 0.0000)
Bi (0.5000, 0.5000, 0.5000)
Pb (0.0000, 0.0000, 0.0000)

Values from the calculation:
Calculated formation energy (meV/atom): 590
Symmetry: No. 221
V (Å³/atom): 31.9
ΔE to the lowest computed polymorph (meV per atom): 0.0

Record 6
Below is a relaxed Ga2Bi2Pb crystal, with properties calculated at the PBE-GGA level.

Cell: 8.2212 8.2212 3.9966 Å, 90.00 90.00 90.00°
Sites, in units of the cell vectors:
Ga (0.1191, 0.3809, 0.0000)
Ga (0.3809, 0.8809, 0.0000)
Ga (0.6191, 0.1191, 0.0000)
Ga (0.8809, 0.6191, 0.0000)
Bi (0.1771, 0.6771, 0.5000)
Bi (0.3229, 0.1771, 0.5000)
Bi (0.6771, 0.8229, 0.5000)
Bi (0.8229, 0.3229, 0.5000)
Pb (0.0000, 0.0000, 0.0000)
Pb (0.5000, 0.5000, 0.0000)

Values from the calculation:
Calculated formation energy (meV/atom): 88
Symmetry: No. 127
V (Å³/atom): 27.0
ΔE to the lowest computed polymorph (meV per atom): 4.6

Record 7
Below is a relaxed GaBiPb2 crystal, with properties calculated at the PBE-GGA level.

Cell: 8.2953 8.2953 8.2953 Å, 132.16 132.16 69.98°
Sites, in units of the cell vectors:
Ga (0.0000, 0.0000, 0.0000)
Ga (0.7500, 0.2500, 0.5000)
Bi (0.2500, 0.7500, 0.5000)
Bi (0.5000, 0.5000, 0.0000)
Pb (0.0882, 0.6250, 0.9632)
Pb (0.3750, 0.3382, 0.4632)
Pb (0.6618, 0.1250, 0.0368)
Pb (0.8750, 0.9118, 0.5368)

Values from the calculation:
Calculated formation energy (meV/atom): 171
Symmetry: No. 122
V (Å³/atom): 38.4
ΔE to the lowest computed polymorph (meV per atom): 122.6

Record 8
Below is a relaxed GaBiPb2 crystal, with properties calculated at the PBE-GGA level.

Cell: 6.5790 6.5790 6.5790 Å, 44.49 44.49 44.49°
Sites, in units of the cell vectors:
Ga (0.0000, 0.0000, 0.0000)
Bi (0.8276, 0.8276, 0.8276)
Pb (0.3945, 0.3945, 0.3945)
Pb (0.5917, 0.5917, 0.5917)

Values from the calculation:
Calculated formation energy (meV/atom): 98
Symmetry: No. 160
V (Å³/atom): 31.8
ΔE to the lowest computed polymorph (meV per atom): 49.4

Record 9
Below is a relaxed GaBi2Pb3 crystal, with properties calculated at the PBE-GGA level.

Cell: 6.4153 6.4153 13.9755 Å, 90.26 90.26 39.48°
Sites, in units of the cell vectors:
Ga (0.0356, 0.0356, 0.2480)
Ga (0.9644, 0.9644, 0.7520)
Bi (0.1712, 0.1712, 0.4362)
Bi (0.4307, 0.4307, 0.1269)
Bi (0.5693, 0.5693, 0.8731)
Bi (0.8288, 0.8288, 0.5638)
Pb (0.1565, 0.1565, 0.0543)
Pb (0.2505, 0.2505, 0.7559)
Pb (0.4385, 0.4385, 0.3857)
Pb (0.5615, 0.5615, 0.6143)
Pb (0.7495, 0.7495, 0.2441)
Pb (0.8435, 0.8435, 0.9457)

Values from the calculation:
Calculated formation energy (meV/atom): 52
Symmetry: No. 12
V (Å³/atom): 30.5

Record 10
Below is a relaxed GaBi3Pb4 crystal, with properties calculated at the PBE-GGA level.

Cell: 14.8965 14.8965 3.9702 Å, 97.55 97.55 16.78°
Sites, in units of the cell vectors:
Ga (0.0000, 0.0000, 0.0000)
Bi (0.3452, 0.3452, 0.8414)
Bi (0.5000, 0.5000, 0.5000)
Bi (0.6548, 0.6548, 0.1586)
Pb (0.0924, 0.0924, 0.5938)
Pb (0.2154, 0.2154, 0.7174)
Pb (0.7846, 0.7846, 0.2826)
Pb (0.9076, 0.9076, 0.4062)

Values from the calculation:
Calculated formation energy (meV/atom): 68
Symmetry: No. 12
V (Å³/atom): 31.5